No. 1
ZnBSe2, optimized geometry, DFT PBE; E above lowest polymorph = 0.383 eV per atom; total magnetic moment = 0.00 μB per atom; energy relative to the elements, uncorrected = 0.477 eV per atom
1.0
3.382 0.000 0.000
-1.691 2.929 0.000
0.000 0.000 22.068
Zn B Se
3 3 6
Cartesian
0.000 0.000 0.000
0.000 1.953 14.712
1.691 0.976 7.356
0.000 0.000 11.034
0.000 1.953 3.678
1.691 0.976 18.390
0.000 0.000 2.445
0.000 0.000 19.623
0.000 1.953 12.267
0.000 1.953 17.157
1.691 0.976 4.911
1.691 0.976 9.801

---

No. 2
ZnBSe3, optimized geometry, DFT PBE; E above lowest polymorph = 0.585 eV per atom; total magnetic moment = 0.00 μB per atom; energy relative to the elements, uncorrected = 1.238 eV per atom
1.0
4.911 0.000 0.000
0.000 4.911 0.000
0.000 0.000 4.911
Zn B Se
1 1 3
Cartesian
0.000 0.000 0.000
2.456 2.456 2.456
0.000 0.000 2.456
0.000 2.456 0.000
2.456 0.000 0.000

---

No. 3
ZrB2Se, optimized geometry, DFT PBE; total magnetic moment = 0.00 μB per atom; energy relative to the elements, uncorrected = 0.481 eV per atom
1.0
5.923 0.000 0.000
0.000 5.923 0.000
0.000 0.000 6.485
Zr B Se
4 8 4
Cartesian
0.000 0.000 0.000
0.000 2.961 1.621
2.961 0.000 4.864
2.961 2.961 3.242
1.147 1.481 4.053
1.481 4.108 5.674
1.481 4.776 2.432
1.815 1.481 0.811
4.108 4.442 0.811
4.442 1.147 2.432
4.442 1.815 5.674
4.776 4.442 4.053
0.000 0.000 3.242
0.000 2.961 4.864
2.961 0.000 1.621
2.961 2.961 0.000

---

No. 4
Zr3BSe, optimized geometry, DFT PBE; E above lowest polymorph = 0.000 eV per atom; total magnetic moment = 0.00 μB per atom; energy relative to the elements, uncorrected = -0.724 eV per atom
1.0
9.753 -1.677 0.000
9.753 1.677 0.000
-0.893 0.000 5.513
Zr B Se
6 2 2
Cartesian
-0.210 0.000 1.448
3.757 0.000 0.669
6.631 0.000 2.352
11.982 0.000 3.161
14.855 0.000 4.845
18.823 0.000 4.065
4.218 0.000 3.092
14.395 0.000 2.422
7.193 0.000 5.280
11.420 0.000 0.233

---

No. 5
ZrBSe2, optimized geometry, DFT PBE; total magnetic moment = 0.00 μB per atom; energy relative to the elements, uncorrected = 0.308 eV per atom
1.0
3.284 0.000 0.000
-1.642 2.844 0.000
0.000 0.000 23.828
Zr B Se
3 3 6
Cartesian
0.000 0.000 0.000
0.000 1.896 15.885
1.642 0.948 7.943
0.000 0.000 11.914
0.000 1.896 3.971
1.642 0.948 19.856
0.000 0.000 2.682
0.000 0.000 21.146
0.000 1.896 13.203
0.000 1.896 18.567
1.642 0.948 5.261
1.642 0.948 10.625

---

No. 6
ZrBSe2, optimized geometry, DFT PBE; total magnetic moment = 0.00 μB per atom; energy relative to the elements, uncorrected = 0.021 eV per atom
1.0
5.907 0.000 0.000
0.000 5.907 0.000
0.000 0.000 8.803
Zr B Se
4 4 8
Cartesian
0.000 0.000 0.000
0.000 2.954 2.201
2.954 0.000 6.602
2.954 2.954 4.402
0.000 0.000 4.402
0.000 2.954 6.602
2.954 0.000 2.201
2.954 2.954 0.000
0.965 1.477 5.502
1.477 3.919 7.703
1.477 4.942 3.301
1.988 1.477 1.100
3.919 4.430 1.100
4.430 0.965 3.301
4.430 1.988 7.703
4.942 4.430 5.502